Density functional theory data (PBE) for a geometry-optimized Tm2MnOs structure.

Output
Volume = 89.4 Å³/cell
Relative energy among the computed polymorphs = 580.3 meV/atom
Energy of formation from the pure elements = 2.00 eV per formula unit
Magnetization = 3.5 μB/f.u.
Theoretical density = 10.83 g/cm3

Lattice parameters (Å, degrees): 3.210 3.210 10.186 80.93 80.93 60.00
Site moments in Bohr magnetons follow the coordinates.
Sites, in units of the cell vectors:
Tm1 0.903 0.903 0.290  -0.20
Tm2 0.097 0.097 0.710  -0.20
Mn1 0.000 0.000 0.000  3.85
Os1 0.500 0.500 0.500  -0.01